*i*
This record from Alexandria via LeMat-Bulk describes CsLaRu3 at its PBEsol-relaxed geometry. The functional is meta-GGA SCAN.

- Crystal system: cubic

Geometry as CIF:
```
data_CsLaRu3
_chemical_formula_sum 'Cs1 La1 Ru3'
_cell_length_a 4.859
_cell_length_b 4.859
_cell_length_c 4.859
_cell_angle_alpha 90.00
_cell_angle_beta 90.00
_cell_angle_gamma 90.00
_symmetry_space_group_name_H-M 'P m -3 m'
_symmetry_Int_Tables_number 221
_symmetry_space_group_name_Hall '-P 4 2 3'
loop_
_atom_site_label
_atom_site_fract_x
_atom_site_fract_y
_atom_site_fract_z
_atom_site_occupancy
Cs1 0.000 0.000 0.000 1
La1 0.500 0.500 0.500 1
Ru1 0.000 0.000 0.500 1
```

*ii*
This record from Alexandria via LeMat-Bulk describes CsLaRu3 at its PBEsol-relaxed geometry. The functional is meta-GGA SCAN.

- Crystal system: cubic

Geometry as CIF:
```
data_CsLaRu3
_chemical_formula_sum 'Cs1 La1 Ru3'
_cell_length_a 5.020
_cell_length_b 5.020
_cell_length_c 5.020
_cell_angle_alpha 90.00
_cell_angle_beta 90.00
_cell_angle_gamma 90.00
_symmetry_space_group_name_H-M 'P m -3 m'
_symmetry_Int_Tables_number 221
_symmetry_space_group_name_Hall '-P 4 2 3'
loop_
_atom_site_label
_atom_site_fract_x
_atom_site_fract_y
_atom_site_fract_z
_atom_site_occupancy
Cs1 0.000 0.000 0.000 1
La1 0.500 0.500 0.500 1
Ru1 0.000 0.500 0.500 1
```

The most stable arrangement is *ii*, and the next structure is 290 meV per atom less stable.

*i*
This record from Alexandria via LeMat-Bulk describes CsLaZr3 at its PBEsol-relaxed geometry. The functional is meta-GGA SCAN.

- Crystal system: cubic

Geometry as CIF:
```
data_CsLaZr3
_chemical_formula_sum 'Cs1 La1 Zr3'
_cell_length_a 5.290
_cell_length_b 5.290
_cell_length_c 5.290
_cell_angle_alpha 90.00
_cell_angle_beta 90.00
_cell_angle_gamma 90.00
_symmetry_space_group_name_H-M 'P m -3 m'
_symmetry_Int_Tables_number 221
_symmetry_space_group_name_Hall '-P 4 2 3'
loop_
_atom_site_label
_atom_site_fract_x
_atom_site_fract_y
_atom_site_fract_z
_atom_site_occupancy
Cs1 0.000 0.000 0.000 1
La1 0.500 0.500 0.500 1
Zr1 0.000 0.000 0.500 1
```

*ii*
This record from Alexandria via LeMat-Bulk describes CsLaZr3 at its PBEsol-relaxed geometry. The functional is meta-GGA SCAN.

- Crystal system: cubic

Geometry as CIF:
```
data_CsLaZr3
_chemical_formula_sum 'Cs1 La1 Zr3'
_cell_length_a 5.358
_cell_length_b 5.358
_cell_length_c 5.358
_cell_angle_alpha 90.00
_cell_angle_beta 90.00
_cell_angle_gamma 90.00
_symmetry_space_group_name_H-M 'P m -3 m'
_symmetry_Int_Tables_number 221
_symmetry_space_group_name_Hall '-P 4 2 3'
loop_
_atom_site_label
_atom_site_fract_x
_atom_site_fract_y
_atom_site_fract_z
_atom_site_occupancy
Cs1 0.000 0.000 0.000 1
La1 0.500 0.500 0.500 1
Zr1 0.000 0.500 0.500 1
```

The most stable arrangement is *ii*, and the next structure is 100 meV per atom less stable.

*i*
This record from Alexandria via LeMat-Bulk describes CsLiSO4 at its PBEsol-relaxed geometry. The functional is meta-GGA SCAN.

- Crystal system: monoclinic

Geometry as CIF:
```
data_CsLiSO4
_chemical_formula_sum 'Cs4 Li4 S4 O16'
_cell_length_a 5.403
_cell_length_b 8.922
_cell_length_c 10.740
_cell_angle_alpha 90.00
_cell_angle_beta 120.02
_cell_angle_gamma 90.00
_symmetry_space_group_name_H-M 'P 1 21/c 1'
_symmetry_Int_Tables_number 14
_symmetry_space_group_name_Hall '-P 2ybc'
loop_
_atom_site_label
_atom_site_fract_x
_atom_site_fract_y
_atom_site_fract_z
_atom_site_occupancy
Cs1 0.038 0.001 0.279 1
Li1 0.340 0.678 0.586 1
S1 0.328 0.201 0.081 1
O1 0.036 0.248 0.968 1
O2 0.344 0.036 0.092 1
O3 0.389 0.235 0.722 1
O4 0.460 0.741 0.957 1
```

*ii*
This record from Alexandria via LeMat-Bulk describes CsLiSO4 at its PBEsol-relaxed geometry. The functional is meta-GGA SCAN.

- Crystal system: orthorhombic

Geometry as CIF:
```
data_CsLiSO4
_chemical_formula_sum 'Cs4 Li4 S4 O16'
_cell_length_a 9.869
_cell_length_b 5.442
_cell_length_c 12.147
_cell_angle_alpha 90.00
_cell_angle_beta 90.00
_cell_angle_gamma 90.00
_symmetry_space_group_name_H-M 'P n m a'
_symmetry_Int_Tables_number 62
_symmetry_space_group_name_Hall '-P 2ac 2n'
loop_
_atom_site_label
_atom_site_fract_x
_atom_site_fract_y
_atom_site_fract_z
_atom_site_occupancy
Cs1 0.083 0.250 0.177 1
Li1 0.116 0.750 0.521 1
S1 0.204 0.250 0.461 1
O1 0.059 0.250 0.425 1
O2 0.208 0.750 0.863 1
O3 0.230 0.027 0.529 1
```

The most stable arrangement is *i*, and the next structure is 108 meV per atom less stable.

*i*
This record from Alexandria via LeMat-Bulk describes CsLi3Pb at its PBEsol-relaxed geometry. The functional is meta-GGA SCAN.

- Crystal system: cubic

Geometry as CIF:
```
data_CsLi3Pb
_chemical_formula_sum 'Cs1 Li3 Pb1'
_cell_length_a 5.440
_cell_length_b 5.440
_cell_length_c 5.440
_cell_angle_alpha 90.00
_cell_angle_beta 90.00
_cell_angle_gamma 90.00
_symmetry_space_group_name_H-M 'P m -3 m'
_symmetry_Int_Tables_number 221
_symmetry_space_group_name_Hall '-P 4 2 3'
loop_
_atom_site_label
_atom_site_fract_x
_atom_site_fract_y
_atom_site_fract_z
_atom_site_occupancy
Cs1 0.000 0.000 0.000 1
Li1 0.000 0.500 0.500 1
Pb1 0.500 0.500 0.500 1
```

*ii*
This record from Alexandria via LeMat-Bulk describes CsLi3Pb at its PBEsol-relaxed geometry. The functional is meta-GGA SCAN.

- Crystal system: cubic

Geometry as CIF:
```
data_CsLi3Pb
_chemical_formula_sum 'Cs1 Li3 Pb1'
_cell_length_a 5.222
_cell_length_b 5.222
_cell_length_c 5.222
_cell_angle_alpha 90.00
_cell_angle_beta 90.00
_cell_angle_gamma 90.00
_symmetry_space_group_name_H-M 'P m -3 m'
_symmetry_Int_Tables_number 221
_symmetry_space_group_name_Hall '-P 4 2 3'
loop_
_atom_site_label
_atom_site_fract_x
_atom_site_fract_y
_atom_site_fract_z
_atom_site_occupancy
Cs1 0.000 0.000 0.000 1
Li1 0.000 0.000 0.500 1
Pb1 0.500 0.500 0.500 1
```

The most stable arrangement is *i*, and the next structure is 946 meV per atom less stable.

*i*
This record from Alexandria via LeMat-Bulk describes CsRb2Li2 at its PBEsol-relaxed geometry. The functional is meta-GGA SCAN.

- Crystal system: tetragonal

Geometry as CIF:
```
data_CsRb2Li2
_chemical_formula_sum 'Cs2 Rb4 Li4'
_cell_length_a 6.210
_cell_length_b 6.210
_cell_length_c 16.326
_cell_angle_alpha 90.00
_cell_angle_beta 90.00
_cell_angle_gamma 90.00
_symmetry_space_group_name_H-M 'I 4/m m m'
_symmetry_Int_Tables_number 139
_symmetry_space_group_name_Hall '-I 4 2'
loop_
_atom_site_label
_atom_site_fract_x
_atom_site_fract_y
_atom_site_fract_z
_atom_site_occupancy
Cs1 0.000 0.000 0.000 1
Rb1 0.000 0.500 0.250 1
Li1 0.000 0.000 0.410 1
```

*ii*
This record from Alexandria via LeMat-Bulk describes CsRb2Li2 at its PBEsol-relaxed geometry. The functional is meta-GGA SCAN.

- Crystal system: tetragonal

Geometry as CIF:
```
data_CsRb2Li2
_chemical_formula_sum 'Cs2 Rb4 Li4'
_cell_length_a 6.847
_cell_length_b 6.847
_cell_length_c 14.061
_cell_angle_alpha 90.00
_cell_angle_beta 90.00
_cell_angle_gamma 90.00
_symmetry_space_group_name_H-M 'I 4/m m m'
_symmetry_Int_Tables_number 139
_symmetry_space_group_name_Hall '-I 4 2'
loop_
_atom_site_label
_atom_site_fract_x
_atom_site_fract_y
_atom_site_fract_z
_atom_site_occupancy
Cs1 0.000 0.000 0.000 1
Rb1 0.000 0.000 0.354 1
Li1 0.000 0.500 0.250 1
```

The most stable arrangement is *i*, and the next structure is 59 meV per atom less stable.

*i*
This record from Alexandria via LeMat-Bulk describes CsLi3Sb at its PBEsol-relaxed geometry. The functional is meta-GGA SCAN.

- Crystal system: cubic

Geometry as CIF:
```
data_CsLi3Sb
_chemical_formula_sum 'Cs1 Li3 Sb1'
_cell_length_a 5.375
_cell_length_b 5.375
_cell_length_c 5.375
_cell_angle_alpha 90.00
_cell_angle_beta 90.00
_cell_angle_gamma 90.00
_symmetry_space_group_name_H-M 'P m -3 m'
_symmetry_Int_Tables_number 221
_symmetry_space_group_name_Hall '-P 4 2 3'
loop_
_atom_site_label
_atom_site_fract_x
_atom_site_fract_y
_atom_site_fract_z
_atom_site_occupancy
Cs1 0.000 0.000 0.000 1
Li1 0.000 0.500 0.500 1
Sb1 0.500 0.500 0.500 1
```

*ii*
This record from Alexandria via LeMat-Bulk describes CsLi3Sb at its PBEsol-relaxed geometry. The functional is meta-GGA SCAN.

- Crystal system: cubic

Geometry as CIF:
```
data_CsLi3Sb
_chemical_formula_sum 'Cs1 Li3 Sb1'
_cell_length_a 5.219
_cell_length_b 5.219
_cell_length_c 5.219
_cell_angle_alpha 90.00
_cell_angle_beta 90.00
_cell_angle_gamma 90.00
_symmetry_space_group_name_H-M 'P m -3 m'
_symmetry_Int_Tables_number 221
_symmetry_space_group_name_Hall '-P 4 2 3'
loop_
_atom_site_label
_atom_site_fract_x
_atom_site_fract_y
_atom_site_fract_z
_atom_site_occupancy
Cs1 0.000 0.000 0.000 1
Li1 0.000 0.000 0.500 1
Sb1 0.500 0.500 0.500 1
```

The most stable arrangement is *i*, and the next structure is 1041 meV per atom less stable.